# 1
VASP calculation (PBE) on a relaxed structure of LaAlIn2.

Properties
Formation energy: -0.28 eV/atom

Structure (CIF):
```
data_LaAlIn2
_space_group_name_H-M_alt 'C 1 m 1'
_space_group_IT_number 8
_space_group_name_Hall 'C -2y'
_cell_length_a 8.158
_cell_length_b 4.722
_cell_length_c 6.222
_cell_angle_alpha 90.00
_cell_angle_beta 116.01
_cell_angle_gamma 90.00
loop_
_atom_site_label
_atom_site_type_symbol
_atom_site_fract_x
_atom_site_fract_y
_atom_site_fract_z
La1 La 0.000 0.000 0.000
Al1 Al 0.226 0.000 0.679
In1 In 0.026 0.500 0.577
In2 In 0.279 0.500 0.337
```

# 2
VASP calculation (PBE) on a relaxed structure of La2Al3In.

Properties
Formation energy: -0.46 eV/atom

Structure (CIF):
```
data_La2Al3In
_space_group_name_H-M_alt 'F m m m'
_space_group_IT_number 69
_space_group_name_Hall '-F 2 2'
_cell_length_a 7.828
_cell_length_b 9.454
_cell_length_c 16.388
_cell_angle_alpha 90.00
_cell_angle_beta 90.00
_cell_angle_gamma 90.00
loop_
_atom_site_label
_atom_site_type_symbol
_atom_site_fract_x
_atom_site_fract_y
_atom_site_fract_z
La1 La 0.250 0.000 0.000
La2 La 0.250 0.250 0.250
Al1 Al 0.000 0.000 0.163
Al2 Al 0.000 0.244 0.082
In1 In 0.000 0.000 0.333
```

# 3
VASP calculation (PBE) on a relaxed structure of LaAlIn2.

Properties
Formation energy: -0.12 eV/atom

Structure (CIF):
```
data_LaAlIn2
_space_group_name_H-M_alt 'C 1 2/m 1'
_space_group_IT_number 12
_space_group_name_Hall '-C 2y'
_cell_length_a 6.460
_cell_length_b 10.776
_cell_length_c 3.229
_cell_angle_alpha 90.00
_cell_angle_beta 109.32
_cell_angle_gamma 90.00
loop_
_atom_site_label
_atom_site_type_symbol
_atom_site_fract_x
_atom_site_fract_y
_atom_site_fract_z
La1 La 0.000 0.000 0.000
Al1 Al 0.000 0.500 0.000
In1 In 0.250 0.250 0.500
```

# 4
VASP calculation (PBE) on a relaxed structure of La6AlIn.

Properties
Formation energy: -0.25 eV/atom
ΔE to the lowest computed polymorph: 0 kJ/mol of formula units

Structure (CIF):
```
data_La6AlIn
_space_group_name_H-M_alt 'P 4/m m m'
_space_group_IT_number 123
_space_group_name_Hall '-P 4 2'
_cell_length_a 5.017
_cell_length_b 5.017
_cell_length_c 10.025
_cell_angle_alpha 90.00
_cell_angle_beta 90.00
_cell_angle_gamma 90.00
loop_
_atom_site_label
_atom_site_type_symbol
_atom_site_fract_x
_atom_site_fract_y
_atom_site_fract_z
La1 La 0.000 0.000 0.000
La2 La 0.000 0.000 0.500
La3 La 0.000 0.500 0.244
Al1 Al 0.500 0.500 0.000
In1 In 0.500 0.500 0.500
```

# 5
VASP calculation (PBE) on a relaxed structure of La4AlIn.

Properties
Formation energy: 0.19 eV/atom
ΔE to the lowest computed polymorph: 284 kJ/mol of formula units

Structure (CIF):
```
data_La4AlIn
_space_group_name_H-M_alt 'F -4 3 m'
_space_group_IT_number 216
_space_group_name_Hall 'F -4 2 3'
_cell_length_a 9.151
_cell_length_b 9.151
_cell_length_c 9.151
_cell_angle_alpha 90.00
_cell_angle_beta 90.00
_cell_angle_gamma 90.00
loop_
_atom_site_label
_atom_site_type_symbol
_atom_site_fract_x
_atom_site_fract_y
_atom_site_fract_z
La1 La 0.124 0.124 0.124
Al1 Al 0.250 0.250 0.750
In1 In 0.000 0.000 0.500
```

# 6
VASP calculation (PBE) on a relaxed structure of La4AlIn.

Properties
Formation energy: -0.30 eV/atom
ΔE to the lowest computed polymorph: 0 kJ/mol of formula units

Structure (CIF):
```
data_La4AlIn
_space_group_name_H-M_alt 'C 1 2/m 1'
_space_group_IT_number 12
_space_group_name_Hall '-C 2y'
_cell_length_a 11.569
_cell_length_b 3.721
_cell_length_c 9.240
_cell_angle_alpha 90.00
_cell_angle_beta 113.53
_cell_angle_gamma 90.00
loop_
_atom_site_label
_atom_site_type_symbol
_atom_site_fract_x
_atom_site_fract_y
_atom_site_fract_z
La1 La 0.149 0.000 0.334
La2 La 0.152 0.000 0.817
Al1 Al 0.000 0.500 0.500
In1 In 0.000 0.500 0.000
```

# 7
VASP calculation (PBE) on a relaxed structure of La5AlIn2.

Properties
Formation energy: -0.26 eV/atom

Structure (CIF):
```
data_La5AlIn2
_space_group_name_H-M_alt 'P 63/m m c'
_space_group_IT_number 194
_space_group_name_Hall '-P 6c 2c'
_cell_length_a 5.4646
_cell_length_b 5.4646
_cell_length_c 20.4443
_cell_angle_alpha 90.00
_cell_angle_beta 90.00
_cell_angle_gamma 120.00
loop_
_atom_site_label
_atom_site_type_symbol
_atom_site_fract_x
_atom_site_fract_y
_atom_site_fract_z
La1 La 0.0000 0.0000 0.1591
La2 La 0.3333 0.6667 0.0479
La3 La 0.3333 0.6667 0.2500
Al1 Al 0.3333 0.6667 0.7500
In1 In 0.3333 0.6667 0.6127
```

# 8
VASP calculation (PBE) on a relaxed structure of La4AlIn2.

Properties
Formation energy: -0.30 eV/atom

Structure (CIF):
```
data_La4AlIn2
_space_group_name_H-M_alt 'R -3 m'
_space_group_IT_number 166
_space_group_name_Hall '-R 3 2"'
_cell_length_a 5.4633
_cell_length_b 5.4633
_cell_length_c 26.6646
_cell_angle_alpha 90.00
_cell_angle_beta 90.00
_cell_angle_gamma 120.00
loop_
_atom_site_label
_atom_site_type_symbol
_atom_site_fract_x
_atom_site_fract_y
_atom_site_fract_z
La1 La 0.0000 0.0000 0.1223
La2 La 0.0000 0.0000 0.3738
Al1 Al 0.0000 0.0000 0.5000
In1 In 0.0000 0.0000 0.2496
```

# 9
VASP calculation (PBE) on a relaxed structure of LaAlIn2.

Properties
Formation energy: -0.23 eV/atom

Structure (CIF):
```
data_LaAlIn2
_space_group_name_H-M_alt 'P 1 2/m 1'
_space_group_IT_number 10
_space_group_name_Hall '-P 2y'
_cell_length_a 3.286
_cell_length_b 5.036
_cell_length_c 6.292
_cell_angle_alpha 90.00
_cell_angle_beta 90.18
_cell_angle_gamma 90.00
loop_
_atom_site_label
_atom_site_type_symbol
_atom_site_fract_x
_atom_site_fract_y
_atom_site_fract_z
La1 La 0.000 0.000 0.000
Al1 Al 0.500 0.000 0.500
In1 In 0.496 0.500 0.744
```

# 10
VASP calculation (PBE) on a relaxed structure of LaAl2In2.

Properties
Formation energy: -0.17 eV/atom

Structure (CIF):
```
data_LaAl2In2
_space_group_name_H-M_alt 'P 4/m b m'
_space_group_IT_number 127
_space_group_name_Hall '-P 4 2ab'
_cell_length_a 8.279
_cell_length_b 8.279
_cell_length_c 3.532
_cell_angle_alpha 90.00
_cell_angle_beta 90.00
_cell_angle_gamma 90.00
loop_
_atom_site_label
_atom_site_type_symbol
_atom_site_fract_x
_atom_site_fract_y
_atom_site_fract_z
La1 La 0.000 0.000 0.000
Al1 Al 0.122 0.378 0.000
In1 In 0.169 0.669 0.500
```

# 11
VASP calculation (PBE) on a relaxed structure of LaAlIn2.

Properties
Formation energy: -0.23 eV/atom

Structure (CIF):
```
data_LaAlIn2
_space_group_name_H-M_alt 'C m m m'
_space_group_IT_number 65
_space_group_name_Hall '-C 2 2'
_cell_length_a 5.339
_cell_length_b 5.346
_cell_length_c 7.308
_cell_angle_alpha 90.00
_cell_angle_beta 90.00
_cell_angle_gamma 90.00
loop_
_atom_site_label
_atom_site_type_symbol
_atom_site_fract_x
_atom_site_fract_y
_atom_site_fract_z
La1 La 0.000 0.000 0.000
Al1 Al 0.000 0.000 0.500
In1 In 0.000 0.500 0.295
```

# 12
VASP calculation (PBE) on a relaxed structure of LaAl2In.

Properties
Formation energy: -0.02 eV/atom

Structure (CIF):
```
data_LaAl2In
_space_group_name_H-M_alt 'I -4 2 d'
_space_group_IT_number 122
_space_group_name_Hall 'I -4 2bw'
_cell_length_a 4.803
_cell_length_b 4.803
_cell_length_c 19.463
_cell_angle_alpha 90.00
_cell_angle_beta 90.00
_cell_angle_gamma 90.00
loop_
_atom_site_label
_atom_site_type_symbol
_atom_site_fract_x
_atom_site_fract_y
_atom_site_fract_z
La1 La 0.000 0.000 0.000
Al1 Al 0.112 0.250 0.625
In1 In 0.000 0.000 0.500
```

# 13
VASP calculation (PBE) on a relaxed structure of La6AlIn3.

Properties
Formation energy: -0.39 eV/atom

Structure (CIF):
```
data_La6AlIn3
_space_group_name_H-M_alt 'P 1 21/m 1'
_space_group_IT_number 11
_space_group_name_Hall '-P 2yb'
_cell_length_a 9.799
_cell_length_b 5.462
_cell_length_c 12.104
_cell_angle_alpha 90.00
_cell_angle_beta 106.43
_cell_angle_gamma 90.00
loop_
_atom_site_label
_atom_site_type_symbol
_atom_site_fract_x
_atom_site_fract_y
_atom_site_fract_z
La1 La 0.033 0.250 0.414
La2 La 0.163 0.750 0.174
La3 La 0.264 0.250 0.002
La4 La 0.353 0.750 0.819
La5 La 0.381 0.250 0.351
La6 La 0.409 0.250 0.621
Al1 Al 0.456 0.750 0.106
In1 In 0.032 0.750 0.880
In2 In 0.122 0.250 0.720
In3 In 0.268 0.750 0.471
```

# 14
VASP calculation (PBE) on a relaxed structure of LaAlIn2.

Properties
Formation energy: -0.23 eV/atom

Structure (CIF):
```
data_LaAlIn2
_space_group_name_H-M_alt 'P m m 2'
_space_group_IT_number 25
_space_group_name_Hall 'P 2 -2'
_cell_length_a 3.485
_cell_length_b 4.132
_cell_length_c 7.245
_cell_angle_alpha 90.00
_cell_angle_beta 90.00
_cell_angle_gamma 90.00
loop_
_atom_site_label
_atom_site_type_symbol
_atom_site_fract_x
_atom_site_fract_y
_atom_site_fract_z
La1 La 0.000 0.000 0.000
Al1 Al 0.500 0.500 0.282
In1 In 0.000 0.000 0.469
In2 In 0.500 0.500 0.697
```

# 15
VASP calculation (PBE) on a relaxed structure of La4AlIn3.

Properties
Formation energy: -0.48 eV/atom

Structure (CIF):
```
data_La4AlIn3
_space_group_name_H-M_alt 'P 4/m m m'
_space_group_IT_number 123
_space_group_name_Hall '-P 4 2'
_cell_length_a 3.901
_cell_length_b 3.901
_cell_length_c 15.800
_cell_angle_alpha 90.00
_cell_angle_beta 90.00
_cell_angle_gamma 90.00
loop_
_atom_site_label
_atom_site_type_symbol
_atom_site_fract_x
_atom_site_fract_y
_atom_site_fract_z
La1 La 0.000 0.000 0.116
La2 La 0.000 0.000 0.372
Al1 Al 0.500 0.500 0.000
In1 In 0.500 0.500 0.245
In2 In 0.500 0.500 0.500
```

# 16
VASP calculation (PBE) on a relaxed structure of LaAlIn4.

Properties
Formation energy: -0.06 eV/atom

Structure (CIF):
```
data_LaAlIn4
_space_group_name_H-M_alt 'F -4 3 m'
_space_group_IT_number 216
_space_group_name_Hall 'F -4 2 3'
_cell_length_a 8.659
_cell_length_b 8.659
_cell_length_c 8.659
_cell_angle_alpha 90.00
_cell_angle_beta 90.00
_cell_angle_gamma 90.00
loop_
_atom_site_label
_atom_site_type_symbol
_atom_site_fract_x
_atom_site_fract_y
_atom_site_fract_z
La1 La 0.000 0.000 0.000
Al1 Al 0.250 0.250 0.750
In1 In 0.124 0.124 0.376
```

# 17
VASP calculation (PBE) on a relaxed structure of La3AlIn.

Properties
Formation energy: -0.30 eV/atom
ΔE to the lowest computed polymorph: 0 kJ/mol of formula units

Structure (CIF):
```
data_La3AlIn
_space_group_name_H-M_alt 'C m c m'
_space_group_IT_number 63
_space_group_name_Hall '-C 2c 2'
_cell_length_a 5.633
_cell_length_b 19.211
_cell_length_c 5.642
_cell_angle_alpha 90.00
_cell_angle_beta 90.00
_cell_angle_gamma 90.00
loop_
_atom_site_label
_atom_site_type_symbol
_atom_site_fract_x
_atom_site_fract_y
_atom_site_fract_z
La1 La 0.000 0.055 0.250
La2 La 0.000 0.247 0.250
La3 La 0.000 0.434 0.250
Al1 Al 0.000 0.149 0.750
In1 In 0.000 0.349 0.750
```

# 18
VASP calculation (PBE) on a relaxed structure of LaAlIn2.

Properties
Formation energy: -0.23 eV/atom

Structure (CIF):
```
data_LaAlIn2
_space_group_name_H-M_alt 'P 1 m 1'
_space_group_IT_number 6
_space_group_name_Hall 'P -2y'
_cell_length_a 3.340
_cell_length_b 5.020
_cell_length_c 6.258
_cell_angle_alpha 90.00
_cell_angle_beta 90.07
_cell_angle_gamma 90.00
loop_
_atom_site_label
_atom_site_type_symbol
_atom_site_fract_x
_atom_site_fract_y
_atom_site_fract_z
La1 La 0.000 0.000 0.000
Al1 Al 0.500 0.500 0.767
In1 In 0.498 0.000 0.517
In2 In 0.502 0.500 0.252
```

# 19
VASP calculation (PBE) on a relaxed structure of LaAl2In.

Properties
Formation energy: -0.34 eV/atom

Structure (CIF):
```
data_LaAl2In
_space_group_name_H-M_alt 'P 4/m m m'
_space_group_IT_number 123
_space_group_name_Hall '-P 4 2'
_cell_length_a 4.610
_cell_length_b 4.610
_cell_length_c 4.478
_cell_angle_alpha 90.00
_cell_angle_beta 90.00
_cell_angle_gamma 90.00
loop_
_atom_site_label
_atom_site_type_symbol
_atom_site_fract_x
_atom_site_fract_y
_atom_site_fract_z
La1 La 0.000 0.000 0.000
Al1 Al 0.000 0.500 0.500
In1 In 0.500 0.500 0.000
```

# 20
VASP calculation (PBE) on a relaxed structure of La12AlIn3.

Properties
Formation energy: -0.27 eV/atom

Structure (CIF):
```
data_La12AlIn3
_space_group_name_H-M_alt 'P 4/m m m'
_space_group_IT_number 123
_space_group_name_Hall '-P 4 2'
_cell_length_a 5.044
_cell_length_b 5.044
_cell_length_c 20.139
_cell_angle_alpha 90.00
_cell_angle_beta 90.00
_cell_angle_gamma 90.00
loop_
_atom_site_label
_atom_site_type_symbol
_atom_site_fract_x
_atom_site_fract_y
_atom_site_fract_z
La1 La 0.000 0.000 0.000
La2 La 0.000 0.000 0.247
La3 La 0.000 0.000 0.500
La4 La 0.000 0.500 0.121
La5 La 0.000 0.500 0.374
Al1 Al 0.500 0.500 0.000
In1 In 0.500 0.500 0.248
In2 In 0.500 0.500 0.500
```

# 21
VASP calculation (PBE) on a relaxed structure of LaAl2In.

Properties
Formation energy: -0.18 eV/atom

Structure (CIF):
```
data_LaAl2In
_space_group_name_H-M_alt 'P 1 m 1'
_space_group_IT_number 6
_space_group_name_Hall 'P -2y'
_cell_length_a 3.223
_cell_length_b 4.853
_cell_length_c 6.193
_cell_angle_alpha 90.00
_cell_angle_beta 90.05
_cell_angle_gamma 90.00
loop_
_atom_site_label
_atom_site_type_symbol
_atom_site_fract_x
_atom_site_fract_y
_atom_site_fract_z
La1 La 0.000 0.000 0.000
Al1 Al 0.501 0.000 0.478
Al2 Al 0.501 0.500 0.249
In1 In 0.499 0.500 0.728
```

# 22
VASP calculation (PBE) on a relaxed structure of La3Al8In.

Properties
Formation energy: -0.36 eV/atom

Structure (CIF):
```
data_La3Al8In
_space_group_name_H-M_alt 'R 3 m'
_space_group_IT_number 160
_space_group_name_Hall 'R 3 -2"'
_cell_length_a 5.7324
_cell_length_b 5.7324
_cell_length_c 27.9068
_cell_angle_alpha 90.00
_cell_angle_beta 90.00
_cell_angle_gamma 120.00
loop_
_atom_site_label
_atom_site_type_symbol
_atom_site_fract_x
_atom_site_fract_y
_atom_site_fract_z
La1 La 0.0000 0.0000 0.0000
La2 La 0.0000 0.0000 0.1299
La3 La 0.0000 0.0000 0.6221
Al1 Al 0.0000 0.0000 0.3129
Al2 Al 0.0000 0.0000 0.8149
Al3 Al 0.0043 0.5021 0.5642
Al4 Al 0.1676 0.3353 0.3972
In1 In 0.0000 0.0000 0.5009
```

# 23
VASP calculation (PBE) on a relaxed structure of LaAlIn2.

Properties
Formation energy: -0.07 eV/atom

Structure (CIF):
```
data_LaAlIn2
_space_group_name_H-M_alt 'I -4 2 d'
_space_group_IT_number 122
_space_group_name_Hall 'I -4 2bw'
_cell_length_a 4.634
_cell_length_b 4.634
_cell_length_c 21.451
_cell_angle_alpha 90.00
_cell_angle_beta 90.00
_cell_angle_gamma 90.00
loop_
_atom_site_label
_atom_site_type_symbol
_atom_site_fract_x
_atom_site_fract_y
_atom_site_fract_z
La1 La 0.000 0.000 0.000
Al1 Al 0.000 0.000 0.500
In1 In 0.205 0.250 0.625
```

# 24
VASP calculation (PBE) on a relaxed structure of LaAlIn2.

Properties
Formation energy: -0.29 eV/atom

Structure (CIF):
```
data_LaAlIn2
_space_group_name_H-M_alt 'C 1 2/m 1'
_space_group_IT_number 12
_space_group_name_Hall '-C 2y'
_cell_length_a 8.509
_cell_length_b 4.521
_cell_length_c 6.065
_cell_angle_alpha 90.00
_cell_angle_beta 112.67
_cell_angle_gamma 90.00
loop_
_atom_site_label
_atom_site_type_symbol
_atom_site_fract_x
_atom_site_fract_y
_atom_site_fract_z
La1 La 0.000 0.000 0.000
Al1 Al 0.000 0.500 0.500
In1 In 0.229 0.000 0.673
```

# 25
VASP calculation (PBE) on a relaxed structure of La3AlIn.

Properties
Formation energy: 0.10 eV/atom
ΔE to the lowest computed polymorph: 193 kJ/mol of formula units

Structure (CIF):
```
data_La3AlIn
_space_group_name_H-M_alt 'P m -3 m'
_space_group_IT_number 221
_space_group_name_Hall '-P 4 2 3'
_cell_length_a 5.746
_cell_length_b 5.746
_cell_length_c 5.746
_cell_angle_alpha 90.00
_cell_angle_beta 90.00
_cell_angle_gamma 90.00
loop_
_atom_site_label
_atom_site_type_symbol
_atom_site_fract_x
_atom_site_fract_y
_atom_site_fract_z
La1 La 0.000 0.000 0.500
Al1 Al 0.000 0.000 0.000
In1 In 0.500 0.500 0.500
```